P | Material: GeRhCl2
Method: DFT, PBE
State: relaxed

Results
- space group = Fm-3m, No. 225

abc: 4.681 4.681 4.681
angles: 60.00 60.00 60.00
Atoms (fractional coordinates):
Ge 0.000 0.000 0.000
Rh 0.500 0.500 0.500
Cl 0.250 0.250 0.250
Cl 0.750 0.750 0.750

---

Q | Material: GeRhCl2
Method: DFT, PBE
State: relaxed

Results
- space group = I-42d, No. 122

abc: 8.833 8.833 8.833
angles: 150.67 150.67 41.96
Atoms (fractional coordinates):
Ge 0.000 0.000 0.000
Ge 0.750 0.250 0.500
Rh 0.250 0.750 0.500
Rh 0.500 0.500 0.000
Cl 0.150 0.625 0.025
Cl 0.375 0.400 0.525
Cl 0.600 0.125 0.975
Cl 0.875 0.850 0.475

---

Which of them is least stable? Easy: P.

---

P | Material: GeRh3Cl
Method: DFT, PBE
State: relaxed

Results
- space group = Pm-3m, No. 221

abc: 4.646 4.646 4.646
angles: 90.00 90.00 90.00
Atoms (fractional coordinates):
Ge 0.000 0.000 0.000
Rh 0.000 0.000 0.500
Rh 0.000 0.500 0.000
Rh 0.500 0.000 0.000
Cl 0.500 0.500 0.500

---

Q | Material: GeRh3Cl
Method: DFT, PBE
State: relaxed

Results
- space group = Pm-3m, No. 221

abc: 4.446 4.446 4.446
angles: 90.00 90.00 90.00
Atoms (fractional coordinates):
Ge 0.000 0.000 0.000
Rh 0.000 0.500 0.500
Rh 0.500 0.000 0.500
Rh 0.500 0.500 0.000
Cl 0.500 0.500 0.500

---

Which of them is least stable? Easy: P.

---

P | Material: Ge3RhCl
Method: DFT, PBE
State: relaxed

Results
- space group = Pm-3m, No. 221

abc: 4.804 4.804 4.804
angles: 90.00 90.00 90.00
Atoms (fractional coordinates):
Ge 0.000 0.000 0.500
Ge 0.000 0.500 0.000
Ge 0.500 0.000 0.000
Rh 0.500 0.500 0.500
Cl 0.000 0.000 0.000

---

Q | Material: Ge3RhCl
Method: DFT, PBE
State: relaxed

Results
- space group = Pm-3m, No. 221

abc: 4.837 4.837 4.837
angles: 90.00 90.00 90.00
Atoms (fractional coordinates):
Ge 0.000 0.000 0.500
Ge 0.000 0.500 0.000
Ge 0.500 0.000 0.000
Rh 0.000 0.000 0.000
Cl 0.500 0.500 0.500

---

Which of them is least stable? Easy: P.

---

P | Material: GeRhSCl2
Method: DFT, PBE
State: relaxed

Results
- space group = P4/mmm, No. 123

abc: 4.713 4.713 4.768
angles: 90.00 90.00 90.00
Atoms (fractional coordinates):
Ge 0.000 0.000 0.000
Rh 0.500 0.500 0.500
S 0.500 0.500 0.000
Cl 0.000 0.500 0.500
Cl 0.500 0.000 0.500

---

Q | Material: GeRhSCl2
Method: DFT, PBE
State: relaxed

Results
- space group = P4/mmm, No. 123

abc: 4.856 4.856 4.897
angles: 90.00 90.00 90.00
Atoms (fractional coordinates):
Ge 0.000 0.000 0.000
Rh 0.500 0.500 0.500
S 0.000 0.000 0.500
Cl 0.000 0.500 0.000
Cl 0.500 0.000 0.000

---

Which of them is least stable? Easy: Q.